LaPBr2: relaxed, PBE.

abc: 4.224 4.224 7.208
angles: 90.00 90.00 90.00
Space group P4mm (No. 99)
Inequivalent atoms, fractional coordinates:
La 0.000 0.000 0.000
P 0.500 0.500 0.057
Br 0.000 0.000 0.385
Br 0.500 0.500 0.728

Summary:
Total DFT energy (no corrections)   -18.11 eV per cell
Raw formation energy   -1106 meV/atom



La3P2Br: relaxed, PBE.

abc: 4.260 16.479 11.964
angles: 90.00 90.00 90.00
Space group Cmcm (No. 63)
Inequivalent atoms, fractional coordinates:
La 0.000 0.006 0.250
La 0.000 0.380 0.019
P 0.000 0.000 0.000
P 0.000 0.388 0.250
Br 0.000 0.350 0.750

Summary:
Total DFT energy (no corrections)   -139.20 eV per cell
Raw formation energy   -1254 meV/atom



LaPBr2: relaxed, PBE.

abc: 4.691 4.672 5.278
angles: 90.00 110.34 90.00
Space group P2/m (No. 10)
Inequivalent atoms, fractional coordinates:
La 0.000 0.000 0.000
P 0.500 0.500 0.000
Br 0.000 0.500 0.500
Br 0.500 0.000 0.500

Summary:
Total DFT energy (no corrections)   -17.11 eV per cell
Raw formation energy   -856 meV/atom



LaPBr2: relaxed, PBE.

abc: 4.028 4.028 6.596
angles: 90.00 90.00 90.00
Space group P4/mmm (No. 123)
Inequivalent atoms, fractional coordinates:
La 0.000 0.000 0.000
P 0.000 0.000 0.500
Br 0.500 0.500 0.237

Summary:
Total DFT energy (no corrections)   -16.18 eV per cell
Raw formation energy   -625 meV/atom



La4P2Br3: relaxed, PBE.

abc: 7.375 4.258 18.153
angles: 90.00 90.06 90.00
Space group C2/m (No. 12)
Inequivalent atoms, fractional coordinates:
La 0.001 0.000 0.293
La 0.166 0.500 0.882
P 0.167 0.500 0.203
Br 0.000 0.000 0.000
Br 0.166 0.500 0.603

Summary:
Total DFT energy (no corrections)   -102.29 eV per cell
Raw formation energy   -1733 meV/atom



La6PPd2Br3: relaxed, PBE.

abc: 7.448 12.891 7.790
angles: 90.00 108.58 90.00
Space group C2/m (No. 12)
Inequivalent atoms, fractional coordinates:
La 0.239 0.164 0.218
La 0.243 0.500 0.217
P 0.000 0.000 0.000
Pd 0.000 0.333 0.000
Br 0.000 0.164 0.500
Br 0.000 0.500 0.500

Summary:
Total DFT energy (no corrections)   -129.78 eV per cell
Raw formation energy   -1209 meV/atom



La6P2PdBr3: relaxed, PBE.

abc: 19.367 4.176 9.002
angles: 90.00 105.40 90.00
Space group C2/m (No. 12)
Inequivalent atoms, fractional coordinates:
La 0.012 0.000 0.226
La 0.168 0.500 0.110
La 0.175 0.500 0.560
P 0.169 0.000 0.334
Pd 0.000 0.500 0.000
Br 0.000 0.500 0.500
Br 0.162 0.000 0.826

Summary:
Total DFT energy (no corrections)   -134.81 eV per cell
Raw formation energy   -1401 meV/atom



LaPmPBr: relaxed, PBE.

abc: 4.1269 4.1269 22.6902
angles: 90.00 90.00 120.00
Space group R3m (No. 160, hexagonal axes)
Inequivalent atoms, fractional coordinates:
La 0.0000 0.0000 0.0000
Pm 0.0000 0.0000 0.8028
P 0.0000 0.0000 0.4050
Br 0.0000 0.0000 0.2309

Summary:
Total DFT energy (no corrections)   -68.71 eV per cell
Raw formation energy   -1536 meV/atom



LaPrPBr: relaxed, PBE.

abc: 4.1555 4.1555 22.9333
angles: 90.00 90.00 120.00
Space group R3m (No. 160, hexagonal axes)
Inequivalent atoms, fractional coordinates:
La 0.0000 0.0000 0.0000
Pr 0.0000 0.0000 0.8030
P 0.0000 0.0000 0.4031
Br 0.0000 0.0000 0.2326

Summary:
Total DFT energy (no corrections)   -68.80 eV per cell
Raw formation energy   -1536 meV/atom



La6P2PtBr3: relaxed, PBE.

abc: 7.461 12.886 7.638
angles: 90.00 109.20 90.00
Space group C2/m (No. 12)
Inequivalent atoms, fractional coordinates:
La 0.235 0.000 0.220
La 0.240 0.332 0.216
P 0.000 0.166 0.000
Pt 0.000 0.500 0.000
Br 0.000 0.000 0.500
Br 0.000 0.330 0.500

Summary:
Total DFT energy (no corrections)   -138.12 eV per cell
Raw formation energy   -1468 meV/atom



La6PPt2Br3: relaxed, PBE.

abc: 7.474 12.929 7.909
angles: 90.00 108.38 90.00
Space group C2/m (No. 12)
Inequivalent atoms, fractional coordinates:
La 0.232 0.000 0.207
La 0.239 0.332 0.209
P 0.000 0.500 0.000
Pt 0.000 0.167 0.000
Br 0.000 0.000 0.500
Br 0.000 0.339 0.500

Summary:
Total DFT energy (no corrections)   -137.27 eV per cell
Raw formation energy   -1380 meV/atom



LaPuPBr: relaxed, PBE.

abc: 3.9304 3.9304 47.0465
angles: 90.00 90.00 120.00
Space group R-3m (No. 166, hexagonal axes)
Inequivalent atoms, fractional coordinates:
La 0.0000 0.0000 0.0838
Pu 0.0000 0.0000 0.3225
P 0.0000 0.0000 0.3800
Br 0.0000 0.0000 0.2061

Summary:
Total DFT energy (no corrections)   -186.86 eV per cell
Raw formation energy   -1200 meV/atom



Rb2LaPBr6: relaxed, PBE.

abc: 8.806 8.806 10.961
angles: 90.00 90.00 90.00
Space group I4/mmm (No. 139)
Inequivalent atoms, fractional coordinates:
Rb 0.000 0.500 0.250
La 0.000 0.000 0.000
P 0.000 0.000 0.500
Br 0.000 0.000 0.270
Br 0.233 0.233 0.000

Summary:
Total DFT energy (no corrections)   -69.68 eV per cell
Raw formation energy   -1253 meV/atom